(1)
# Lu2ZrSe | Alexandria | PBE-GGA | optimized geometry
data_Lu2ZrSe
_cell_length_a 10.071
_cell_length_b 10.071
_cell_length_c 10.071
_cell_angle_alpha 20.12
_cell_angle_beta 20.12
_cell_angle_gamma 20.12
_space_group_name_H-M_alt 'P 1'
_space_group_IT_number 1
loop_
_space_group_symop_operation_xyz
'x,y,z'
loop_
_atom_site_label
_atom_site_fract_x
_atom_site_fract_y
_atom_site_fract_z
_atom_site_occupancy
Lu1 0.103 0.103 0.103 1
Lu2 0.897 0.897 0.897 1
Zr1 0.000 0.000 0.000 1
Se1 0.500 0.500 0.500 1
# - Energy above the lowest structure with this stoichiometry: 31.4 kJ/mol of atoms
# - Formation energy from raw total energies: -317 meV per atom



(2)
# Cs2KHgO | Alexandria | PBE-GGA | optimized geometry
data_Cs2KHgO
_cell_length_a 6.102
_cell_length_b 6.102
_cell_length_c 5.378
_cell_angle_alpha 90.00
_cell_angle_beta 90.00
_cell_angle_gamma 90.00
_space_group_name_H-M_alt 'P 1'
_space_group_IT_number 1
loop_
_space_group_symop_operation_xyz
'x,y,z'
loop_
_atom_site_label
_atom_site_fract_x
_atom_site_fract_y
_atom_site_fract_z
_atom_site_occupancy
Cs1 0.000 0.500 0.000 1
Cs2 0.500 0.000 0.000 1
K1 0.000 0.000 0.500 1
Hg1 0.500 0.500 0.500 1
O1 0.000 0.000 0.000 1
# - Formation energy from raw total energies: -602 meV per atom



(3)
# DySc3Fe | Alexandria | PBE-GGA | optimized geometry
data_DySc3Fe
_cell_length_a 4.923
_cell_length_b 4.923
_cell_length_c 4.923
_cell_angle_alpha 90.00
_cell_angle_beta 90.00
_cell_angle_gamma 90.00
_space_group_name_H-M_alt 'P 1'
_space_group_IT_number 1
loop_
_space_group_symop_operation_xyz
'x,y,z'
loop_
_atom_site_label
_atom_site_fract_x
_atom_site_fract_y
_atom_site_fract_z
_atom_site_occupancy
Dy1 0.000 0.000 0.000 1
Sc1 0.000 0.500 0.500 1
Sc2 0.500 0.000 0.500 1
Sc3 0.500 0.500 0.000 1
Fe1 0.500 0.500 0.500 1
# - Uncorrected energy: -32.0 eV per cell